No. 1
## La5NdTl4 (PBE-GGA)

Data for La5NdTl4 after structural relaxation.

theoretical density = 8.533 g/cm3
N(E_F) = 10.717 states/eV/f.u.
space group = P4/mmm, No. 123
crystal system = tetragonal
energy of formation from the pure elements = -3.3 eV/f.u.

a b c (Å): 3.7142 3.7142 23.3638
angles (deg): 90.00 90.00 90.00
Sites, in units of the cell vectors:
La 0.0000 0.0000 0.0000
La 0.0000 0.0000 0.1939
La 0.0000 0.0000 0.3866
La 0.0000 0.0000 0.6134
La 0.0000 0.0000 0.8061
Nd 0.5000 0.5000 0.5000
Tl 0.5000 0.5000 0.0969
Tl 0.5000 0.5000 0.2910
Tl 0.5000 0.5000 0.7090
Tl 0.5000 0.5000 0.9031

=====

No. 2
## TmUPd6 (PBE-GGA)

Data for TmUPd6 after structural relaxation.

theoretical density = 12.470 g/cm3
N(E_F) = 9.423 states/eV/f.u.
space group = P4/mmm, No. 123
crystal system = tetragonal
energy of formation from the pure elements = -6.1 eV/f.u.

a b c (Å): 4.1151 4.1151 8.2212
angles (deg): 90.00 90.00 90.00
Sites, in units of the cell vectors:
Tm 0.0000 0.0000 0.0000
U 0.0000 0.0000 0.5000
Pd 0.0000 0.5000 0.2523
Pd 0.0000 0.5000 0.7477
Pd 0.5000 0.0000 0.2523
Pd 0.5000 0.0000 0.7477
Pd 0.5000 0.5000 0.0000
Pd 0.5000 0.5000 0.5000

=====

No. 3
## PrPuAsS (PBE-GGA)

Data for PrPuAsS after structural relaxation.

theoretical density = 8.165 g/cm3
N(E_F) = 9.054 states/eV/f.u.
formation energy without anion corrections = -6.40 eV per formula unit
space group = R3m, No. 160
crystal system = trigonal

a b c (Å): 7.1094 7.1094 7.1094
angles (deg): 33.98 33.98 33.98
Sites, in units of the cell vectors:
Pr 0.0000 0.0000 0.0000
Pu 0.5043 0.5043 0.5043
As 0.7558 0.7558 0.7558
S 0.2472 0.2472 0.2472

=====

No. 4
## Sm2ThPtN4 (PBE-GGA)

Data for Sm2ThPtN4 after structural relaxation.

theoretical density = 10.430 g/cm3
N(E_F) = 4.797 states/eV/f.u.
formation energy without anion corrections = -7.58 eV per formula unit
space group = Cmcm, No. 63
crystal system = orthorhombic

a b c (Å): 6.2029 6.2029 11.9902
angles (deg): 90.00 90.00 147.25
Sites, in units of the cell vectors:
Sm 0.1281 0.8719 0.5511
Sm 0.1281 0.8719 0.9489
Sm 0.8719 0.1281 0.0511
Sm 0.8719 0.1281 0.4489
Th 0.3868 0.6132 0.7500
Th 0.6132 0.3868 0.2500
Pt 0.3509 0.6491 0.2500
Pt 0.6491 0.3509 0.7500
N 0.0414 0.9586 0.7500
N 0.2146 0.7854 0.1314
N 0.2146 0.7854 0.3686
N 0.5000 0.5000 0.0000
N 0.5000 0.5000 0.5000
N 0.7854 0.2146 0.6314
N 0.7854 0.2146 0.8686
N 0.9586 0.0414 0.2500

=====

No. 5
## SrCd2SbAs (PBE-GGA)

Data for SrCd2SbAs after structural relaxation.

theoretical density = 5.303 g/cm3
N(E_F) = 0.260 states/eV/f.u.
formation energy without anion corrections = -2.33 eV per formula unit
space group = P4mm, No. 99
crystal system = tetragonal

a b c (Å): 4.6391 4.6391 7.4074
angles (deg): 90.00 90.00 90.00
Sites, in units of the cell vectors:
Sr 0.0000 0.0000 0.0000
Cd 0.0000 0.5000 0.3949
Cd 0.5000 0.0000 0.3949
Sb 0.5000 0.5000 0.1162
As 0.0000 0.0000 0.5844

=====

No. 6
## SmPuPtI (PBE-GGA)

Data for SmPuPtI after structural relaxation.

theoretical density = 9.799 g/cm3
N(E_F) = 13.407 states/eV/f.u.
formation energy without anion corrections = -3.63 eV per formula unit
space group = R3m, No. 160
crystal system = trigonal

a b c (Å): 8.4295 8.4295 8.4295
angles (deg): 28.61 28.61 28.61
Sites, in units of the cell vectors:
Sm 0.0000 0.0000 0.0000
Pu 0.2059 0.2059 0.2059
Pt 0.6027 0.6027 0.6027
I 0.7697 0.7697 0.7697

=====

No. 7
## GdMgIn (PBE-GGA)

Data for GdMgIn after structural relaxation.

theoretical density = 6.351 g/cm3
N(E_F) = 1.846 states/eV/f.u.
space group = I4mm, No. 107
crystal system = tetragonal
energy of formation from the pure elements = -0.8 eV/f.u.

a b c (Å): 6.9833 6.9833 6.9833
angles (deg): 151.48 151.48 40.78
Sites, in units of the cell vectors:
Gd 0.0000 0.0000 0.0000
Mg 0.6817 0.6817 0.0000
In 0.3303 0.3303 0.0000

=====

No. 8
## CeLuGaGe (PBE-GGA)

Data for CeLuGaGe after structural relaxation.

theoretical density = 8.339 g/cm3
N(E_F) = 5.503 states/eV/f.u.
space group = F-43m, No. 216
crystal system = cubic
energy of formation from the pure elements = -2.2 eV/f.u.

a b c (Å): 5.0505 5.0505 5.0505
angles (deg): 60.00 60.00 60.00
Sites, in units of the cell vectors:
Ce 0.0000 0.0000 0.0000
Lu 0.5000 0.5000 0.5000
Ga 0.7500 0.7500 0.7500
Ge 0.2500 0.2500 0.2500

=====

No. 9
## Tl3NiCl5 (PBE-GGA)

Data for Tl3NiCl5 after structural relaxation.

theoretical density = 5.278 g/cm3
N(E_F) = 5.627 states/eV/f.u.
formation energy without anion corrections = -7.43 eV per formula unit
space group = I4/mcm, No. 140
crystal system = tetragonal

a b c (Å): 9.5068 9.5068 9.5068
angles (deg): 126.72 126.72 78.71
Sites, in units of the cell vectors:
Tl 0.1660 0.6660 0.8320
Tl 0.2500 0.2500 0.0000
Tl 0.3340 0.1660 0.5000
Tl 0.6660 0.8340 0.5000
Tl 0.7500 0.7500 0.0000
Tl 0.8340 0.3340 0.1680
Ni 0.2500 0.7500 0.5000
Ni 0.7500 0.2500 0.5000
Cl 0.0000 0.0000 0.0000
Cl 0.0097 0.7949 0.5000
Cl 0.2051 0.7051 0.2148
Cl 0.2949 0.5097 0.5000
Cl 0.4903 0.9903 0.7852
Cl 0.5000 0.5000 0.0000
Cl 0.5097 0.0097 0.2148
Cl 0.7051 0.4903 0.5000
Cl 0.7949 0.2949 0.7852
Cl 0.9903 0.2051 0.5000

=====

No. 10
## Y4NiAg (PBE-GGA)

Data for Y4NiAg after structural relaxation.

theoretical density = 5.270 g/cm3
N(E_F) = 8.450 states/eV/f.u.
space group = F-43m, No. 216
crystal system = cubic
energy of formation from the pure elements = 4.2 eV/f.u.

a b c (Å): 6.1507 6.1507 6.1507
angles (deg): 60.00 60.00 60.00
Sites, in units of the cell vectors:
Y 0.3756 0.3756 0.3756
Y 0.3756 0.3756 0.8733
Y 0.3756 0.8733 0.3756
Y 0.8733 0.3756 0.3756
Ni 0.7500 0.7500 0.7500
Ag 0.0000 0.0000 0.0000